# 1
# KMgRh2

An optimized crystal structure of KMgRh2 (PBE-GGA, the Alexandria database).

Output
The calculation puts the final energy at -16.4 eV per formula unit. For the density, the calculation gives 5.26 Mg/m³. As for the formation energy: 0.247 eV/atom.

Lattice parameters (Å, degrees): 4.4430 2.8248 6.8633 80.67 90.00 90.00
Sites, in units of the cell vectors:
K 0.5000 0.2500 0.2500
Mg 0.5000 0.7500 0.7500
Rh 0.0000 0.9584 0.9149
Rh 0.0000 0.5416 0.5851

---

# 2
# KMgRh2

An optimized crystal structure of KMgRh2 (PBE-GGA, the Alexandria database).

Output
The calculation puts the final energy at -15.1 eV per formula unit. For the density, the calculation gives 6.01 Mg/m³. As for the formation energy: 0.567 eV/atom.

Lattice parameters (Å, degrees): 5.1391 5.1391 5.1391 131.60 131.60 70.87
Sites, in units of the cell vectors:
K 0.2500 0.7500 0.5000
Mg 0.7500 0.2500 0.5000
Rh 0.0000 0.0000 0.0000
Rh 0.5000 0.5000 0.0000

---

# 3
# KMgRh2

An optimized crystal structure of KMgRh2 (PBE-GGA, the Alexandria database).

Output
The calculation puts the final energy at -16.0 eV per formula unit. For the density, the calculation gives 5.57 Mg/m³. As for the formation energy: 0.346 eV/atom.

Lattice parameters (Å, degrees): 6.1308 6.1308 6.1308 152.89 129.75 58.03
Sites, in units of the cell vectors:
K 0.5105 0.5105 0.0000
Mg 0.2121 0.7121 0.5000
Rh 0.9883 0.9883 0.0000
Rh 0.7892 0.2892 0.5000

---

# 4
# K2MgRh

An optimized crystal structure of K2MgRh (PBE-GGA, the Alexandria database).

Output
The calculation puts the final energy at -9.3 eV per formula unit. For the density, the calculation gives 2.42 Mg/m³. As for the formation energy: 0.467 eV/atom.

Lattice parameters (Å, degrees): 4.9087 5.7827 6.6518 48.35 90.00 90.00
Sites, in units of the cell vectors:
K 0.0000 0.8800 0.9342
K 0.0000 0.6200 0.5658
Mg 0.5000 0.2500 0.2500
Rh 0.5000 0.7500 0.7500

---

# 5
# K2MgRh

An optimized crystal structure of K2MgRh (PBE-GGA, the Alexandria database).

Output
The calculation puts the final energy at -8.8 eV per formula unit. For the density, the calculation gives 2.89 Mg/m³. As for the formation energy: 0.594 eV/atom.

Lattice parameters (Å, degrees): 3.2370 3.2370 11.2537 90.00 90.00 90.39
Last column: magnetic moment on the atom in μB.
Sites, in units of the cell vectors:
K 0.0000 0.0000 0.9543  0.00
K 0.0000 0.0000 0.5457  0.00
Mg 0.5000 0.5000 0.2500  0.00
Rh 0.5000 0.5000 0.7500  0.46

---

# 6
# K4MgRh

An optimized crystal structure of K4MgRh (PBE-GGA, the Alexandria database).

Output
The calculation puts the final energy at -8.7 eV per formula unit. For the density, the calculation gives 2.07 Mg/m³. As for the formation energy: 0.775 eV/atom.

Lattice parameters (Å, degrees): 6.8504 6.8504 6.8504 60.00 60.00 60.00
Sites, in units of the cell vectors:
K 0.8790 0.3737 0.3737
K 0.3737 0.3737 0.8790
K 0.3737 0.8790 0.3737
K 0.3737 0.3737 0.3737
Mg 0.7500 0.7500 0.7500
Rh 0.0000 0.0000 0.0000

---

# 7
# KMgRh2

An optimized crystal structure of KMgRh2 (PBE-GGA, the Alexandria database).

Output
The calculation puts the final energy at -16.5 eV per formula unit. For the density, the calculation gives 5.07 Mg/m³. As for the formation energy: 0.214 eV/atom.

Lattice parameters (Å, degrees): 4.7525 4.7525 6.8023 83.42 83.42 35.31
Sites, in units of the cell vectors:
K 0.7500 0.7500 0.7500
Mg 0.2500 0.2500 0.2500
Rh 0.9839 0.9839 0.0953
Rh 0.5161 0.5161 0.4047

---

# 8
# K2MgRh

An optimized crystal structure of K2MgRh (PBE-GGA, the Alexandria database).

Output
The calculation puts the final energy at -9.1 eV per formula unit. For the density, the calculation gives 3.19 Mg/m³. As for the formation energy: 0.521 eV/atom.

Lattice parameters (Å, degrees): 6.3431 6.3431 6.3431 139.42 139.42 58.74
Sites, in units of the cell vectors:
K 0.0000 0.0000 0.0000
K 0.5000 0.5000 0.0000
Mg 0.2500 0.7500 0.5000
Rh 0.7500 0.2500 0.5000

---

# 9
# KMgRh2

An optimized crystal structure of KMgRh2 (PBE-GGA, the Alexandria database).

Output
The calculation puts the final energy at -15.3 eV per formula unit. For the density, the calculation gives 4.40 Mg/m³. As for the formation energy: 0.534 eV/atom.

Lattice parameters (Å, degrees): 4.6892 4.6892 9.8276 76.20 76.20 90.00
Sites, in units of the cell vectors:
K 0.0000 0.0000 0.0000
K 0.7500 0.2500 0.5000
Rh 0.4628 0.1250 0.2500
Rh 0.2872 0.6250 0.2500
Rh 0.3750 0.5372 0.7500
Rh 0.8750 0.7128 0.7500
Mg 0.5000 0.5000 0.0000
Mg 0.2500 0.7500 0.5000

---

# 10
# KMgRh2

An optimized crystal structure of KMgRh2 (PBE-GGA, the Alexandria database).

Output
The calculation puts the final energy at -16.5 eV per formula unit. For the density, the calculation gives 6.25 Mg/m³. As for the formation energy: 0.227 eV/atom.

Lattice parameters (Å, degrees): 2.8666 2.8666 9.5459 90.00 90.00 114.20
Sites, in units of the cell vectors:
K 0.5000 0.5000 0.2500
Mg 0.5000 0.5000 0.7500
Rh 0.0000 0.0000 0.9671
Rh 0.0000 0.0000 0.5329

---

# 11
# KMgRh2

An optimized crystal structure of KMgRh2 (PBE-GGA, the Alexandria database).

Output
The calculation puts the final energy at -15.2 eV per formula unit. For the density, the calculation gives 5.98 Mg/m³. As for the formation energy: 0.540 eV/atom.

Lattice parameters (Å, degrees): 4.7311 4.7311 4.7311 120.07 120.07 89.88
Last column: magnetic moment on the atom in μB.
Sites, in units of the cell vectors:
K 0.5000 0.5000 0.0000  -0.01
Mg 0.7500 0.2500 0.5000  -0.01
Rh 0.0000 0.0000 0.0000  0.45
Rh 0.2500 0.7500 0.5000  0.53

---

# 12
# KMgRh2

An optimized crystal structure of KMgRh2 (PBE-GGA, the Alexandria database).

Output
The calculation puts the final energy at -15.4 eV per formula unit. For the density, the calculation gives 6.01 Mg/m³. As for the formation energy: 0.496 eV/atom.

Lattice parameters (Å, degrees): 5.3764 5.3764 2.7889 90.00 90.00 112.70
Last column: magnetic moment on the atom in μB.
Sites, in units of the cell vectors:
K 0.5000 0.0000 0.5000  -0.01
Mg 0.0000 0.5000 0.5000  -0.01
Rh 0.0000 0.0000 0.0000  0.45
Rh 0.5000 0.5000 0.0000  0.45

---

Please write out number 1 again, unchanged.
# KMgRh2

An optimized crystal structure of KMgRh2 (PBE-GGA, the Alexandria database).

Output
The calculation puts the final energy at -16.4 eV per formula unit. For the density, the calculation gives 5.26 Mg/m³. As for the formation energy: 0.247 eV/atom.

Lattice parameters (Å, degrees): 4.4430 2.8248 6.8633 80.67 90.00 90.00
Sites, in units of the cell vectors:
K 0.5000 0.2500 0.2500
Mg 0.5000 0.7500 0.7500
Rh 0.0000 0.9584 0.9149
Rh 0.0000 0.5416 0.5851

---

Number 2 is which compound? KMgRh2

---

What is the final energy in the second record? -15.1 eV per formula unit